# 1
Compound: Sm9YHo2
Source: Alexandria via LeMat-Bulk
Functional: PBE-GGA
Structure: relaxed

Results
- Calculated formation energy: 18 meV per atom

a = 5.099 Å, b = 5.099 Å, c = 15.298 Å
α = 90.00°, β = 90.00°, γ = 90.00°
Atoms (fractional coordinates):
Sm  0.500  0.500  0.000
Sm  0.500  0.500  0.334
Sm  0.500  0.500  0.666
Sm  0.500  0.000  0.168
Sm  0.500  0.000  0.500
Sm  0.500  0.000  0.832
Sm  0.000  0.500  0.168
Sm  0.000  0.500  0.500
Sm  0.000  0.500  0.832
Y  0.000  0.000  0.000
Ho  0.000  0.000  0.334
Ho  0.000  0.000  0.666

***

# 2
Compound: Sm12YHo6
Source: Alexandria via LeMat-Bulk
Functional: PBE-GGA
Structure: relaxed

Results
- Energy above the most stable polymorph in this dataset: 98 meV per atom
- Calculated formation energy: 242 meV per atom

a = 9.199 Å, b = 9.199 Å, c = 9.199 Å
α = 106.67°, β = 106.67°, γ = 106.67°
Atoms (fractional coordinates):
Sm  0.484  0.192  0.581
Sm  0.192  0.581  0.484
Sm  0.581  0.484  0.192
Sm  0.516  0.808  0.419
Sm  0.808  0.419  0.516
Sm  0.419  0.516  0.808
Sm  0.280  0.134  0.826
Sm  0.174  0.720  0.866
Sm  0.866  0.174  0.720
Sm  0.720  0.866  0.174
Sm  0.826  0.280  0.134
Sm  0.134  0.826  0.280
Y  0.000  0.000  0.000
Ho  0.077  0.190  0.454
Ho  0.810  0.546  0.923
Ho  0.546  0.923  0.810
Ho  0.923  0.810  0.546
Ho  0.190  0.454  0.077
Ho  0.454  0.077  0.190

***

no.,VASP energy (eV/atom)
1,-4.823
2,-4.525